First-principles (PBE) data for a geometry-optimized Sc2MnBr structure, as listed in Alexandria.

Output
excess energy over the best structure of this formula in the dataset: 263 meV/atom
size of the total moment: 4.12 μB/cell
energy relative to the elements, uncorrected: -132 meV per atom
calculated density: 3.9 g/cm3
SG: No. 35
volume: 23.6 A^3/atom

a b c (Å): 3.272 3.272 8.829
angles (deg): 90.00 90.00 90.10
Element x y z (fractional)
Sc 0.000 0.000 0.000
Sc 0.500 0.500 0.271
Mn 0.500 0.500 0.802
Br 0.000 0.000 0.466